No. 1
DFT (PBE) results for a relaxed structure of SrTlNi2.

ρ in g/cm3: 8.6
Space group: C2/m, No. 12
Energy of formation in eV/atom: 0.27

The structure in POSCAR format:
```
SrTlNi2
1.0
-0.6286 -4.0481 -6.3158
-2.7758 -0.0654 3.8223
-2.8478 0.5557 -2.0375
Ni Sr Tl
2 1 1
Cartesian
0.0000 0.0000 0.0000
-1.7382 -1.7462 -4.1767
-2.8118 0.2451 0.8924
-1.7022 -2.0568 -1.2467
```

***

No. 2
DFT (PBE) results for a relaxed structure of Sr8Tl2Ni.

ρ in g/cm3: 3.8
Space group: C2/m, No. 12
Energy of formation in eV/atom: -0.12

The structure in POSCAR format:
```
Sr8Tl2Ni
1.0
6.9903 0.4130 1.6103
1.3793 8.2899 2.7212
0.4786 -0.2330 8.8174
Sr Tl Ni
8 2 1
Cartesian
2.6924 5.6148 2.6950
6.7071 8.0715 6.7227
1.9806 1.1332 1.8769
6.8677 7.3367 11.2719
2.1412 0.3984 6.4261
6.1558 2.8551 10.4539
6.3345 3.6563 6.0476
2.5137 4.8137 7.1012
3.4179 2.8158 4.4418
5.4304 5.6541 8.7071
0.0000 0.0000 0.0000
```

***

No. 3
DFT (PBE) results for a relaxed structure of SrTlNi4.

ρ in g/cm3: 9.2
Space group: F-43m, No. 216
Energy of formation in eV/atom: 0.03

The structure in POSCAR format:
```
SrTlNi4
1.0
-4.2403 1.6300 2.3800
-4.3981 0.4272 -2.6029
-3.8464 -3.2676 0.9106
Sr Tl Ni
1 1 4
Cartesian
-9.3636 -0.9078 0.5158
0.0000 0.0000 0.0000
-6.8085 0.3725 1.4609
-6.6093 -2.1052 0.7175
-6.8884 -0.2360 -1.0600
-4.6634 -0.4521 0.2569
```

***

No. 4
DFT (PBE) results for a relaxed structure of SrTl2ZnNi.

ρ in g/cm3: 8.1
Space group: P4/mmm, No. 123
Energy of formation in eV/atom: -0.10

The structure in POSCAR format:
```
SrTl2ZnNi
1.0
-0.0365 3.2406 -3.9688
-4.2765 2.1668 1.8085
2.6530 3.1261 2.5281
Sr Tl Zn Ni
1 2 1 1
Cartesian
-0.8300 4.2667 0.1839
-2.1383 1.0834 0.9043
-0.0182 1.6203 -1.9844
1.3265 1.5630 1.2641
0.0000 0.0000 0.0000
```

***

No. 5
DFT (PBE) results for a relaxed structure of SrTm2Ni.

ρ in g/cm3: 5.9
Space group: R-3m, No. 166
Energy of formation in eV/atom: 0.00

The structure in POSCAR format:
```
SrTm2Ni
1.0
-1.8234 -2.9009 1.8471
1.0500 -0.9654 3.6217
-7.1586 5.4697 5.6250
Sr Tm Ni
1 2 1
Cartesian
0.0000 0.0000 0.0000
-4.6487 3.0116 4.2422
-3.2833 -1.4081 6.8517
-3.9660 0.8017 5.5469
```

***

No. 6
DFT (PBE) results for a relaxed structure of Sr2TmNi9.

ρ in g/cm3: 7.9
Space group: R-3m, No. 166
Energy of formation in eV/atom: -0.14

The structure in POSCAR format:
```
Sr2TmNi9
1.0
5.0201 0.0000 0.0000
2.5101 4.3476 0.0000
2.5101 1.4492 8.3632
Sr Tm Ni
2 1 9
Cartesian
7.5302 4.3476 3.5136
2.5101 1.4492 4.8496
0.0000 0.0000 0.0000
7.5302 4.3476 8.3386
2.5101 1.4492 0.0247
5.0201 2.8984 4.1816
3.7779 2.1812 1.9329
6.2623 2.1812 1.9329
5.0201 4.3328 1.9329
6.2623 3.6156 6.4303
5.0201 1.4640 6.4303
3.7779 3.6156 6.4303
```

***

No. 7
DFT (PBE) results for a relaxed structure of SrTm2Ni.

ρ in g/cm3: 7.1
Space group: P4/mmm, No. 123
Energy of formation in eV/atom: -0.10

The structure in POSCAR format:
```
SrTm2Ni
1.0
3.4463 0.0000 0.0000
0.0000 3.4463 0.0000
0.0000 0.0000 9.5264
Sr Tm Ni
1 2 1
Cartesian
1.7232 1.7232 4.7632
0.0000 0.0000 7.9599
0.0000 0.0000 1.5665
1.7232 1.7232 0.0000
```

***

No. 8
DFT (PBE) results for a relaxed structure of SrTmNi10.

ρ in g/cm3: 8.3
Space group: Pmmm, No. 47
Energy of formation in eV/atom: -0.18

The structure in POSCAR format:
```
SrTmNi10
1.0
3.9491 0.0000 0.0000
0.0000 4.9512 0.0000
0.0000 0.0000 8.5807
Sr Tm Ni
1 1 10
Cartesian
0.0000 0.0000 0.0000
0.0000 2.4756 4.2903
0.0000 0.0000 2.9349
0.0000 2.4756 7.0515
0.0000 2.4756 1.5292
0.0000 0.0000 5.6458
1.9745 0.0000 4.2903
1.9745 2.4756 0.0000
1.9745 1.2654 2.2281
1.9745 3.6858 6.3526
1.9745 3.6858 2.2281
1.9745 1.2654 6.3526
```

***

Which value of ρ does entry 4 give?
8.1 g/cm3

***

Please write out number 8 again, unchanged.
DFT (PBE) results for a relaxed structure of SrTmNi10.

ρ in g/cm3: 8.3
Space group: Pmmm, No. 47
Energy of formation in eV/atom: -0.18

The structure in POSCAR format:
```
SrTmNi10
1.0
3.9491 0.0000 0.0000
0.0000 4.9512 0.0000
0.0000 0.0000 8.5807
Sr Tm Ni
1 1 10
Cartesian
0.0000 0.0000 0.0000
0.0000 2.4756 4.2903
0.0000 0.0000 2.9349
0.0000 2.4756 7.0515
0.0000 2.4756 1.5292
0.0000 0.0000 5.6458
1.9745 0.0000 4.2903
1.9745 2.4756 0.0000
1.9745 1.2654 2.2281
1.9745 3.6858 6.3526
1.9745 3.6858 2.2281
1.9745 1.2654 6.3526
```